Entry 1:
# CuPd3Au4, optimized geometry, DFT PBE
# - Spin magnetization: 0.00 μB/f.u.
# - DFT formation energy: 39 meV per atom
data_CuPd3Au4
_chemical_formula_sum 'Cu1 Pd3 Au4'
_symmetry_space_group_name_H-M 'P -1'
_symmetry_Int_Tables_number 2
_symmetry_space_group_name_Hall '-P 1'
_cell_length_a 2.8197
_cell_length_b 4.2266
_cell_length_c 11.7460
_cell_angle_alpha 92.77
_cell_angle_beta 96.87
_cell_angle_gamma 90.10
loop_
_atom_site_label
_atom_site_type_symbol
_atom_site_fract_x
_atom_site_fract_y
_atom_site_fract_z
Cu1 Cu 0.0000 0.0000 0.0000
Pd1 Pd 0.3418 0.7768 0.6859
Pd2 Pd 0.5000 0.5000 0.0000
Au1 Au 0.0984 0.7099 0.1953
Au2 Au 0.2192 0.7410 0.4375

Entry 2:
# Sr3AcPd, optimized geometry, DFT PBE
# - Spin magnetization: 0.00 μB/f.u.
# - DFT formation energy: -145 meV per atom
data_Sr3AcPd
_chemical_formula_sum 'Sr3 Ac1 Pd1'
_symmetry_space_group_name_H-M 'P m -3 m'
_symmetry_Int_Tables_number 221
_symmetry_space_group_name_Hall '-P 4 2 3'
_cell_length_a 6.0439
_cell_length_b 6.0439
_cell_length_c 6.0439
_cell_angle_alpha 90.00
_cell_angle_beta 90.00
_cell_angle_gamma 90.00
loop_
_atom_site_label
_atom_site_type_symbol
_atom_site_fract_x
_atom_site_fract_y
_atom_site_fract_z
Sr1 Sr 0.0000 0.0000 0.5000
Ac1 Ac 0.5000 0.5000 0.5000
Pd1 Pd 0.0000 0.0000 0.0000

Entry 3:
# Ag4SeO, optimized geometry, DFT PBE
# - Formation energy from raw total energies: -1 kJ/mol of atoms
# - Spin magnetization: 0.00 μB/f.u.
data_Ag4SeO
_chemical_formula_sum 'Ag8 Se2 O2'
_symmetry_space_group_name_H-M 'P m n 21'
_symmetry_Int_Tables_number 31
_symmetry_space_group_name_Hall 'P 2ac -2'
_cell_length_a 6.7112
_cell_length_b 6.2684
_cell_length_c 5.3841
_cell_angle_alpha 90.00
_cell_angle_beta 90.00
_cell_angle_gamma 90.00
loop_
_atom_site_label
_atom_site_type_symbol
_atom_site_fract_x
_atom_site_fract_y
_atom_site_fract_z
Ag1 Ag 0.0000 0.0667 0.0000
Ag2 Ag 0.0000 0.7018 0.3305
Ag3 Ag 0.2172 0.6649 0.8307
Se1 Se 0.0000 0.0706 0.5135
O1 O 0.0000 0.4455 0.0524

Entry 4:
# GeOsSF2, optimized geometry, DFT PBE
# - Formation energy from raw total energies: 2 kJ/mol of atoms
# - Spin magnetization: 0.48 μB/f.u.
data_GeOsSF2
_chemical_formula_sum 'Ge1 Os1 S1 F2'
_symmetry_space_group_name_H-M 'P 4/m m m'
_symmetry_Int_Tables_number 123
_symmetry_space_group_name_Hall '-P 4 2'
_cell_length_a 4.0034
_cell_length_b 4.0034
_cell_length_c 4.6211
_cell_angle_alpha 90.00
_cell_angle_beta 90.00
_cell_angle_gamma 90.00
loop_
_atom_site_label
_atom_site_type_symbol
_atom_site_fract_x
_atom_site_fract_y
_atom_site_fract_z
Ge1 Ge 0.0000 0.0000 0.0000
Os1 Os 0.5000 0.5000 0.0000
S1 S 0.5000 0.5000 0.5000
F1 F 0.0000 0.5000 0.5000

Entry 5:
# CrCuSi2, optimized geometry, DFT PBE
# - Formation energy from raw total energies: 6 kJ/mol of atoms
# - Spin magnetization: 0.37 μB/f.u.
data_CrCuSi2
_chemical_formula_sum 'Cr2 Cu2 Si4'
_symmetry_space_group_name_H-M 'C 1 2/m 1'
_symmetry_Int_Tables_number 12
_symmetry_space_group_name_Hall '-C 2y'
_cell_length_a 5.4845
_cell_length_b 6.9135
_cell_length_c 2.5751
_cell_angle_alpha 90.00
_cell_angle_beta 90.15
_cell_angle_gamma 90.00
loop_
_atom_site_label
_atom_site_type_symbol
_atom_site_fract_x
_atom_site_fract_y
_atom_site_fract_z
Cr1 Cr 0.0000 0.0000 0.0000
Cu1 Cu 0.0000 0.5000 0.0000
Si1 Si 0.2500 0.2500 0.5000

Entry 6:
# ZrCuAs2, optimized geometry, DFT PBE
# - Spin magnetization: 0.00 μB/f.u.
# - DFT formation energy: 10 meV per atom
data_ZrCuAs2
_chemical_formula_sum 'Zr4 Cu4 As8'
_symmetry_space_group_name_H-M 'F -4 3 m'
_symmetry_Int_Tables_number 216
_symmetry_space_group_name_Hall 'F -4 2 3'
_cell_length_a 6.5923
_cell_length_b 6.5923
_cell_length_c 6.5923
_cell_angle_alpha 90.00
_cell_angle_beta 90.00
_cell_angle_gamma 90.00
loop_
_atom_site_label
_atom_site_type_symbol
_atom_site_fract_x
_atom_site_fract_y
_atom_site_fract_z
Zr1 Zr 0.0000 0.0000 0.0000
Cu1 Cu 0.2500 0.2500 0.7500
As1 As 0.0000 0.0000 0.5000
As2 As 0.2500 0.2500 0.2500

Entry 7:
# Zr2PbBr, optimized geometry, DFT PBE
# - Formation energy from raw total energies: -16 kJ/mol of atoms
# - Spin magnetization: 0.00 μB/f.u.
data_Zr2PbBr
_chemical_formula_sum 'Zr2 Pb1 Br1'
_symmetry_space_group_name_H-M 'P 4/m m m'
_symmetry_Int_Tables_number 123
_symmetry_space_group_name_Hall '-P 4 2'
_cell_length_a 5.1693
_cell_length_b 5.1693
_cell_length_c 3.3743
_cell_angle_alpha 90.00
_cell_angle_beta 90.00
_cell_angle_gamma 90.00
loop_
_atom_site_label
_atom_site_type_symbol
_atom_site_fract_x
_atom_site_fract_y
_atom_site_fract_z
Zr1 Zr 0.0000 0.5000 0.0000
Pb1 Pb 0.0000 0.0000 0.5000
Br1 Br 0.5000 0.5000 0.5000

Entry 8:
# Zr2CdBr, optimized geometry, DFT PBE
# - Formation energy from raw total energies: 17 kJ/mol of atoms
# - Spin magnetization: 0.00 μB/f.u.
data_Zr2CdBr
_chemical_formula_sum 'Zr4 Cd2 Br2'
_symmetry_space_group_name_H-M 'I -4 m 2'
_symmetry_Int_Tables_number 119
_symmetry_space_group_name_Hall 'I -4 -2'
_cell_length_a 4.2388
_cell_length_b 4.2388
_cell_length_c 10.0365
_cell_angle_alpha 90.00
_cell_angle_beta 90.00
_cell_angle_gamma 90.00
loop_
_atom_site_label
_atom_site_type_symbol
_atom_site_fract_x
_atom_site_fract_y
_atom_site_fract_z
Zr1 Zr 0.0000 0.0000 0.0000
Zr2 Zr 0.0000 0.5000 0.2500
Cd1 Cd 0.0000 0.0000 0.5000
Br1 Br 0.0000 0.5000 0.7500

Entry 9:
# MgH3Ir5, optimized geometry, DFT PBE
# - Energy: -6.13 eV per atom
# - Spin magnetization: 0.00 μB/f.u.
data_MgH3Ir5
_chemical_formula_sum 'Mg2 H6 Ir10'
_symmetry_space_group_name_H-M 'C 1 m 1'
_symmetry_Int_Tables_number 8
_symmetry_space_group_name_Hall 'C -2y'
_cell_length_a 4.9793
_cell_length_b 8.5393
_cell_length_c 4.7106
_cell_angle_alpha 90.00
_cell_angle_beta 90.08
_cell_angle_gamma 90.00
loop_
_atom_site_label
_atom_site_type_symbol
_atom_site_fract_x
_atom_site_fract_y
_atom_site_fract_z
Mg1 Mg 0.0000 0.0000 0.0000
H1 H 0.3012 0.3219 0.8200
H2 H 0.4802 0.5000 0.5192
Ir1 Ir 0.2927 0.3159 0.4429
Ir2 Ir 0.3500 0.0000 0.4697
Ir3 Ir 0.4767 0.1588 0.9796

Entry 10:
# FeSnN2, optimized geometry, DFT PBE
# - Formation energy from raw total energies: 45 kJ/mol of atoms
# - Spin magnetization: 3.70 μB/f.u.
data_FeSnN2
_chemical_formula_sum 'Fe3 Sn3 N6'
_symmetry_space_group_name_H-M 'R -3 m'
_symmetry_Int_Tables_number 166
_symmetry_space_group_name_Hall '-R 3 2"'
_cell_length_a 3.2881
_cell_length_b 3.2881
_cell_length_c 17.8435
_cell_angle_alpha 90.00
_cell_angle_beta 90.00
_cell_angle_gamma 120.00
loop_
_atom_site_label
_atom_site_type_symbol
_atom_site_fract_x
_atom_site_fract_y
_atom_site_fract_z
Fe1 Fe 0.0000 0.0000 0.0000
Sn1 Sn 0.0000 0.0000 0.5000
N1 N 0.0000 0.0000 0.1036

Entry 11:
# Na2FeNiHg, optimized geometry, DFT PBE
# - Spin magnetization: 3.62 μB/f.u.
# - DFT formation energy: 1050 meV per atom
data_Na2FeNiHg
_chemical_formula_sum 'Na2 Fe1 Ni1 Hg1'
_symmetry_space_group_name_H-M 'P 4/m m m'
_symmetry_Int_Tables_number 123
_symmetry_space_group_name_Hall '-P 4 2'
_cell_length_a 5.4232
_cell_length_b 5.4232
_cell_length_c 4.8752
_cell_angle_alpha 90.00
_cell_angle_beta 90.00
_cell_angle_gamma 90.00
loop_
_atom_site_label
_atom_site_type_symbol
_atom_site_fract_x
_atom_site_fract_y
_atom_site_fract_z
Na1 Na 0.0000 0.5000 0.0000
Fe1 Fe 0.0000 0.0000 0.5000
Ni1 Ni 0.5000 0.5000 0.5000
Hg1 Hg 0.5000 0.5000 0.0000

Entry 12:
# Ce2NdPaSe5, optimized geometry, DFT PBE
# - Formation energy from raw total energies: -107 kJ/mol of atoms
# - Spin magnetization: 4.77 μB/f.u.
data_Ce2NdPaSe5
_chemical_formula_sum 'Ce2 Nd1 Pa1 Se5'
_symmetry_space_group_name_H-M 'P 4/m m m'
_symmetry_Int_Tables_number 123
_symmetry_space_group_name_Hall '-P 4 2'
_cell_length_a 5.2013
_cell_length_b 5.2013
_cell_length_c 10.9842
_cell_angle_alpha 90.00
_cell_angle_beta 90.00
_cell_angle_gamma 90.00
loop_
_atom_site_label
_atom_site_type_symbol
_atom_site_fract_x
_atom_site_fract_y
_atom_site_fract_z
Ce1 Ce 0.0000 0.0000 0.1891
Nd1 Nd 0.5000 0.5000 0.5000
Pa1 Pa 0.5000 0.5000 0.0000
Se1 Se 0.0000 0.0000 0.5000
Se2 Se 0.0000 0.5000 0.0000
Se3 Se 0.5000 0.5000 0.2506